(1)
PmEr6Tm2Sc | Alexandria via LeMat-Bulk | PBE | relaxed; energy of formation = 0.1302 eV/atom; space-group type = No. 15; calculated volume = 611.8 Å³ per cell
1.0
4.531 -7.365 0.000
4.531 7.365 0.000
-0.905 0.000 9.166
Pm Er Tm Sc
2 12 4 2
direct
0.028 0.972 0.750
0.972 0.028 0.250
0.002 0.557 0.687
0.125 0.759 0.056
0.241 0.875 0.444
0.291 0.514 0.888
0.443 0.998 0.813
0.486 0.709 0.612
0.514 0.291 0.388
0.557 0.002 0.187
0.709 0.486 0.112
0.759 0.125 0.556
0.875 0.241 0.944
0.998 0.443 0.313
0.204 0.309 0.552
0.309 0.204 0.052
0.691 0.796 0.948
0.796 0.691 0.448
0.415 0.585 0.250
0.585 0.415 0.750

(2)
PmErTm2Sc4 | Alexandria via LeMat-Bulk | PBE | relaxed; energy of formation = 0.4468 eV/atom; space-group type = No. 74; calculated volume = 461.6 Å³ per cell
1.0
-3.251 5.617 6.320
3.251 -5.617 6.320
3.251 5.617 -6.320
Pm Er Tm Sc
2 2 4 8
direct
0.500 0.000 0.000
0.500 0.500 0.500
0.000 0.000 0.000
0.500 0.000 0.500
0.000 0.000 0.500
0.000 0.500 0.000
0.000 0.500 0.500
0.500 0.500 0.000
0.247 0.247 0.500
0.247 0.747 0.000
0.247 0.749 0.497
0.248 0.251 0.997
0.752 0.749 0.003
0.753 0.251 0.503
0.753 0.253 0.000
0.753 0.753 0.500

| no. | M_tot (Bohr magnetons per cell) |
| --- | --- |
| 1 | 0.0 |
| 2 | 7.0 |